# Ce2GaSi3Ir4 GGA-PBE optimized geometry
# Final energy in eV per atom: -7.641
# ΔE_f (raw) in eV per atom: -0.981
# Density of states at the Fermi level in states/eV/f.u.: 8.6
# Magnetization in μB/cell: 0.8
data_Ce2GaSi3Ir4
_chemical_formula_sum 'Ce2 Ga1 Si3 Ir4'
_space_group_name_H-M_alt 'P -4 m 2'
_space_group_IT_number 115
_cell_length_a 4.160
_cell_length_b 4.160
_cell_length_c 10.104
_cell_angle_alpha 90.00
_cell_angle_beta 90.00
_cell_angle_gamma 90.00
loop_
_space_group_symop_operation_xyz
'x,y,z'
'y,-x,-z'
'-x,-y,z'
'-y,x,-z'
'-x,y,z'
'-y,-x,-z'
'x,-y,z'
'y,x,-z'
loop_
_atom_site_label
_atom_site_type_symbol
_atom_site_fract_x
_atom_site_fract_y
_atom_site_fract_z
Ce1 Ce 0.000 0.500 0.245
Ga1 Ga 0.500 0.500 0.000
Si1 Si 0.000 0.000 0.000
Si2 Si 0.000 0.500 0.627
Ir1 Ir 0.000 0.000 0.500
Ir2 Ir 0.000 0.500 0.863
Ir3 Ir 0.500 0.500 0.500